Material: LaSc2MoO8
Method: DFT, PBE with a Hubbard U
State: relaxed

calculated total energy	-8.00	eV per atom
magnetization	0.45	μB per formula unit
crystal system	orthorhombic

abc: 4.845 4.845 6.835
angles: 90.00 90.00 90.31
Positions (direct):
La 0.000 0.000 0.000
Sc 0.500 0.500 0.267
Sc 0.500 0.500 0.733
Mo 0.000 0.000 0.500
O 0.194 0.806 0.295
O 0.194 0.806 0.705
O 0.290 0.290 0.500
O 0.333 0.333 0.000
O 0.667 0.667 0.000
O 0.710 0.710 0.500
O 0.806 0.194 0.295
O 0.806 0.194 0.705